Record 1
! PBE CsCuGe2F, relaxed; values from VASP
&SYSTEM
  ibrav = 0, nat = 5, ntyp = 4
/
ATOMIC_SPECIES
Cs 132.91 Cs.upf
Cu 63.55 Cu.upf
Ge 72.64 Ge.upf
F 19.00 F.upf
CELL_PARAMETERS angstrom
4.452 0.000 0.000
0.000 4.452 0.000
0.000 0.000 8.287
ATOMIC_POSITIONS angstrom
Cs 0.000 0.000 0.000
Cu 2.226 2.226 4.144
Ge 0.000 2.226 4.144
Ge 2.226 0.000 4.144
F 2.226 2.226 0.000
! Crystal system: tetragonal
! Raw formation energy (eV/atom): -0.4520
! Symmetry: P4/mmm (123)

=====

Record 2
! PBE Li2In3Au7, relaxed; values from VASP
&SYSTEM
  ibrav = 0, nat = 12, ntyp = 3
/
ATOMIC_SPECIES
Li 6.94 Li.upf
In 114.82 In.upf
Au 196.97 Au.upf
CELL_PARAMETERS angstrom
2.312 -11.102 0.000
2.312 11.102 0.000
0.000 0.000 4.769
ATOMIC_POSITIONS angstrom
Li 2.312 7.801 0.000
Li 2.312 -7.801 0.000
In 2.312 3.512 2.385
In 2.312 0.000 2.385
In 2.312 -3.512 2.385
Au 0.000 0.000 0.000
Au 2.312 9.294 2.385
Au 2.312 4.825 0.000
Au 2.312 1.745 0.000
Au 2.312 -1.745 0.000
Au 2.312 -4.825 0.000
Au 2.312 -9.294 2.385
! Crystal system: orthorhombic
! E_form (eV/f.u.): -2.79
! Symmetry: Cmmm (65)

=====

Record 3
! PBE Pa3Co4Si4, relaxed; values from VASP
&SYSTEM
  ibrav = 0, nat = 11, ntyp = 3
/
ATOMIC_SPECIES
Pa 231.04 Pa.upf
Co 58.93 Co.upf
Si 28.09 Si.upf
CELL_PARAMETERS angstrom
-1.918 1.983 11.725
1.918 -1.983 11.725
1.918 1.983 -11.725
ATOMIC_POSITIONS angstrom
Pa 0.000 0.000 0.000
Pa 1.918 0.000 8.266
Pa 0.000 1.983 3.459
Co 1.918 0.000 4.621
Co 0.000 0.000 10.561
Co 0.000 0.000 12.889
Co 0.000 1.983 7.104
Si 1.918 0.000 2.336
Si 0.000 0.000 5.867
Si 0.000 0.000 17.583
Si 0.000 1.983 9.389
! Crystal system: orthorhombic
! Raw formation energy (eV/atom): -0.6720
! Distance to the lowest polymorph of the same formula (meV/atom): 74
! Symmetry: Immm (71)

=====

Record 4
! PBE Tb16Pm6Tm7, relaxed; values from VASP
&SYSTEM
  ibrav = 0, nat = 29, ntyp = 3
/
ATOMIC_SPECIES
Tb 158.93 Tb.upf
Pm 145.00 Pm.upf
Tm 168.93 Tm.upf
CELL_PARAMETERS angstrom
0.000 7.870 7.870
7.870 0.000 7.870
7.870 7.870 0.000
ATOMIC_POSITIONS angstrom
Tb 10.283 5.457 5.457
Tb 1.928 1.928 1.928
Tb 5.943 5.943 1.928
Tb 5.943 1.928 5.943
Tb 5.457 5.457 5.457
Tb 10.283 10.283 5.457
Tb 10.283 5.457 10.283
Tb 13.813 9.798 9.798
Tb 1.928 5.943 5.943
Tb 5.457 10.283 5.457
Tb 5.457 5.457 10.283
Tb 10.283 10.283 10.283
Tb 9.798 13.813 9.798
Tb 9.798 9.798 13.813
Tb 13.813 13.813 13.813
Tb 5.457 10.283 10.283
Pm 7.870 7.870 4.479
Pm 7.870 4.479 7.870
Pm 11.262 7.870 7.870
Pm 4.479 7.870 7.870
Pm 7.870 11.262 7.870
Pm 7.870 7.870 11.262
Tm 0.000 0.000 0.000
Tm 3.935 3.935 0.000
Tm 3.935 0.000 3.935
Tm 7.870 3.935 3.935
Tm 0.000 3.935 3.935
Tm 3.935 7.870 3.935
Tm 3.935 3.935 7.870
! Crystal system: cubic
! E_form (eV/f.u.): 6.60
! Symmetry: Fm-3m (225)

=====

| no. | total magnetization (Bohr magnetons per cell) |
| --- | --- |
| 1 | 0.00 |
| 2 | 0.00 |
| 3 | 0.00 |
| 4 | 4.94 |